The following is a DFT calculation (GGA+U) of PbWF2 after structural relaxation.

total DFT energy (no corrections) = -0.1414 hartree per atom
spin magnetization = 0.0 μB per formula unit

Unit cell a=4.628 b=4.628 c=4.628 alpha=60.00 beta=60.00 gamma=60.00
Positions (direct):
Pb1 0.000 0.000 0.000
W1 0.500 0.500 0.500
F1 0.250 0.250 0.250
F2 0.750 0.750 0.750